Material: LiTb2Cd
Method: DFT, PBE
State: relaxed

Computed properties:
total moment: 0.00 μB per formula unit
energy of formation from the pure elements: -0.120 eV per atom

Lattice parameters (Å, degrees): 5.2333 5.2333 3.8048 90.00 90.00 90.00
Space group P4/mmm (No. 123)
Inequivalent atoms, fractional coordinates:
Li 0.0000 0.0000 0.0000
Tb 0.0000 0.5000 0.5000
Cd 0.5000 0.5000 0.0000

Material: Sr2LaMn
Method: DFT, PBE
State: relaxed

Computed properties:
total moment: 3.03 μB per formula unit
energy of formation from the pure elements: 0.349 eV per atom

Lattice parameters (Å, degrees): 3.9429 6.1360 12.3844 90.00 90.00 90.00
Space group Imm2 (No. 44)
Inequivalent atoms, fractional coordinates:
Sr 0.0000 0.0000 0.0000
Sr 0.0000 0.5000 0.2015
La 0.0000 0.5000 0.8055
Mn 0.0000 0.0000 0.4841

Material: KNaSr2As
Method: DFT, PBE
State: relaxed

Computed properties:
total moment: 0.00 μB per formula unit
energy of formation from the pure elements: -0.405 eV per atom

Lattice parameters (Å, degrees): 6.0739 6.0739 6.5794 90.00 90.00 90.00
Space group P4/mmm (No. 123)
Inequivalent atoms, fractional coordinates:
K 0.0000 0.0000 0.0000
Na 0.5000 0.5000 0.0000
Sr 0.0000 0.5000 0.5000
As 0.0000 0.0000 0.5000

Material: Tb7HoEr3
Method: DFT, PBE
State: relaxed

Computed properties:
total moment: 0.32 μB per formula unit
energy of formation from the pure elements: 0.265 eV per atom

Lattice parameters (Å, degrees): 12.5279 11.0971 5.7681 90.00 117.32 90.00
Space group C2/m (No. 12)
Inequivalent atoms, fractional coordinates:
Tb 0.0000 0.0000 0.0000
Tb 0.1956 0.2940 0.6953
Tb 0.2084 0.5000 0.2066
Ho 0.0000 0.0000 0.5000
Er 0.0000 0.2946 0.0000
Er 0.0000 0.5000 0.5000

Record order is preserved below.
V: 26.05; 37.45; 48.55; 32.38 Å³ per atom